! PBE-GGA Li2PmMg10, optimized geometry; values from VASP
! crystal system: orthorhombic
! magnetic moment: 0.0 μB per formula unit
! formation energy from the elements: -0.047 eV/atom
&SYSTEM
  ibrav = 0, nat = 13, ntyp = 3
/
ATOMIC_SPECIES
Li 6.94 Li.upf
Mg 24.30 Mg.upf
Pm 145.00 Pm.upf
CELL_PARAMETERS angstrom
5.721 0.000 0.000
2.861 7.275 0.000
2.861 0.000 7.241
ATOMIC_POSITIONS angstrom
Li 4.291 3.638 0.000
Li 1.430 3.638 0.000
Mg 5.721 1.598 5.733
Mg 5.721 2.587 2.499
Mg 8.582 2.587 4.742
Mg 1.430 0.000 3.621
Mg 5.721 5.677 1.508
Mg 2.861 1.598 1.508
Mg 4.291 0.000 3.621
Mg 2.861 4.689 2.499
Mg 5.721 4.689 4.742
Mg 8.582 5.677 5.733
Pm 0.000 0.000 0.000